This record from the Alexandria database describes a PBEsol-optimized structure of MnBiBr3. The functional is SCAN.

## Properties
Calculated total energy, eV/atom: -31.437
D(E_F), states/eV/cell: 2.2
E_form (uncorrected), eV per atom: -0.394

a = 5.114 Å, b = 5.114 Å, c = 5.114 Å
α = 90.00°, β = 90.00°, γ = 90.00°
Space group Pm-3m (No. 221)
Inequivalent atoms, fractional coordinates:
Mn1 0.000 0.000 0.000 (multiplicity 1)
Bi1 0.500 0.500 0.500 (multiplicity 1)
Br1 0.000 0.000 0.500 (multiplicity 3)